PBE-GGA Sc3GaTe, relaxed; ΔE_f (raw) = -0.691 eV per atom
1.0
6.377 0.000 0.000
0.000 9.466 -1.046
0.000 -4.803 8.226
Sc Ga Te
12 4 4
direct
0.986 0.736 0.514 Sc
0.014 0.264 0.486 Sc
0.486 0.764 0.986 Sc
0.514 0.236 0.014 Sc
0.514 0.735 0.514 Sc
0.486 0.265 0.486 Sc
0.014 0.765 0.986 Sc
0.986 0.235 0.014 Sc
0.250 0.593 0.157 Sc
0.750 0.407 0.843 Sc
0.750 0.907 0.343 Sc
0.250 0.093 0.657 Sc
0.750 0.057 0.693 Ga
0.250 0.943 0.307 Ga
0.250 0.443 0.807 Ga
0.750 0.557 0.193 Ga
0.250 0.414 0.335 Te
0.750 0.586 0.665 Te
0.750 0.086 0.165 Te
0.250 0.914 0.835 Te

PBE-GGA TbEuDyEr, relaxed; ΔE_f = 165 meV per atom
1.0
5.728 0.000 0.000
2.864 4.961 0.000
2.864 1.654 4.677
Eu Dy Tb Er
1 1 1 1
direct
0.750 0.750 0.750 Eu
0.500 0.500 0.500 Dy
0.000 0.000 0.000 Tb
0.250 0.250 0.250 Er

PBE-GGA Pr12TmIn3, relaxed; ΔE_f = -199 meV per atom
1.0
5.038 0.000 0.000
0.000 5.038 0.000
0.000 0.000 20.465
Pr Tm In
12 1 3
direct
0.500 0.500 0.000 Pr
0.500 0.500 0.253 Pr
0.500 0.500 0.500 Pr
0.500 0.500 0.747 Pr
0.500 0.000 0.130 Pr
0.500 0.000 0.377 Pr
0.500 0.000 0.623 Pr
0.500 0.000 0.870 Pr
0.000 0.500 0.130 Pr
0.000 0.500 0.377 Pr
0.000 0.500 0.623 Pr
0.000 0.500 0.870 Pr
0.000 0.000 0.000 Tm
0.000 0.000 0.255 In
0.000 0.000 0.500 In
0.000 0.000 0.745 In

PBE-GGA AcLuInPt, relaxed; ΔE_f = -598 meV per atom
1.0
-4.017 -2.637 2.307
0.983 -3.392 3.993
-1.490 1.229 4.968
Ac Lu Pt In
1 1 1 1
direct
0.500 0.500 0.500 Ac
0.000 0.000 0.000 Lu
0.250 0.250 0.250 Pt
0.750 0.750 0.750 In

PBE-GGA Sr4ScAg, relaxed; ΔE_f = 632 meV per atom
1.0
0.000 5.100 5.100
5.100 0.000 5.100
5.100 5.100 0.000
Sr Sc Ag
4 1 1
direct
0.877 0.374 0.374 Sr
0.374 0.374 0.877 Sr
0.374 0.877 0.374 Sr
0.374 0.374 0.374 Sr
0.000 0.000 0.000 Sc
0.750 0.750 0.750 Ag

PBE-GGA Na2AlAgCl6, relaxed; ΔE_f (raw) = -1.330 eV per atom
1.0
-2.365 3.632 -4.361
-6.158 -0.800 2.673
1.012 5.396 3.946
Na Al Ag Cl
2 1 1 6
direct
0.980 0.500 0.000 Na
0.980 0.000 0.500 Na
0.627 0.000 0.000 Al
0.537 0.500 0.500 Ag
0.728 0.232 0.232 Cl
0.728 0.232 0.768 Cl
0.139 0.500 0.500 Cl
0.273 0.000 0.000 Cl
0.728 0.768 0.768 Cl
0.728 0.768 0.232 Cl

PBE-GGA CaMnSi2, relaxed; ΔE_f (raw) = 0.152 eV per atom
1.0
-0.607 3.968 3.460
-3.737 3.556 -1.216
0.262 -5.285 0.290
Ca Mn Si
1 1 2
direct
0.500 0.500 0.000 Ca
0.750 0.250 0.500 Mn
0.000 0.000 0.000 Si
0.250 0.750 0.500 Si

PBE-GGA TbDy2Ti, relaxed; ΔE_f = 422 meV per atom
1.0
3.356 0.000 0.000
1.678 2.906 0.000
1.678 0.969 11.718
Ti Tb Dy
1 1 2
direct
0.000 0.000 0.000 Ti
0.500 0.500 0.500 Tb
0.084 0.084 0.749 Dy
0.916 0.916 0.251 Dy

PBE-GGA Y4TcGe, relaxed; ΔE_f = -359 meV per atom
1.0
6.096 -0.364 -1.608
-2.722 6.998 -2.706
-0.357 -0.388 7.973
Y Tc Ge
8 2 2
direct
0.793 0.644 0.774 Y
0.090 0.947 0.298 Y
0.707 0.226 0.356 Y
0.410 0.702 0.053 Y
0.590 0.298 0.947 Y
0.293 0.774 0.644 Y
0.910 0.053 0.702 Y
0.207 0.356 0.226 Y
0.250 0.001 0.999 Tc
0.750 0.999 0.001 Tc
0.750 0.633 0.368 Ge
0.250 0.367 0.632 Ge

PBE-GGA Tb6PmTl2, relaxed; ΔE_f = 523 meV per atom
1.0
-1.652 -1.344 5.206
3.304 -4.550 -0.126
7.218 8.675 1.493
Tb Pm Tl
6 1 2
direct
0.871 0.262 0.134 Tb
0.738 0.738 0.866 Tb
0.262 0.871 0.134 Tb
0.129 0.129 0.866 Tb
0.750 0.250 0.500 Tb
0.250 0.750 0.500 Tb
0.500 0.500 0.000 Pm
0.189 0.189 0.379 Tl
0.811 0.811 0.621 Tl

PBE-GGA Ba3Ca12Tl, relaxed; ΔE_f = -17 meV per atom
1.0
5.677 0.000 0.000
0.000 5.677 0.000
0.000 0.000 21.669
Ba Ca Tl
3 12 1
direct
0.000 0.000 0.233 Ba
0.000 0.000 0.500 Ba
0.000 0.000 0.767 Ba
0.500 0.500 0.000 Ca
0.500 0.500 0.229 Ca
0.500 0.500 0.500 Ca
0.500 0.500 0.771 Ca
0.500 0.000 0.098 Ca
0.500 0.000 0.366 Ca
0.500 0.000 0.634 Ca
0.500 0.000 0.902 Ca
0.000 0.500 0.098 Ca
0.000 0.500 0.366 Ca
0.000 0.500 0.634 Ca
0.000 0.500 0.902 Ca
0.000 0.000 0.000 Tl

PBE-GGA La2Nd4Tm, relaxed; ΔE_f = 203 meV per atom
1.0
6.921 0.000 0.000
3.461 8.448 -1.144
3.461 1.668 8.361
La Nd Tm
4 8 2
direct
0.279 0.971 0.471 La
0.500 0.000 0.000 La
0.500 0.500 0.500 La
0.721 0.029 0.529 La
0.143 0.367 0.348 Nd
0.143 0.848 0.867 Nd
0.232 0.241 0.741 Nd
0.785 0.241 0.741 Nd
0.215 0.759 0.259 Nd
0.857 0.152 0.133 Nd
0.768 0.759 0.259 Nd
0.857 0.633 0.652 Nd
0.000 0.500 0.000 Tm
0.500 0.500 0.000 Tm

Calculated values (eV per atom) of total energy for the records, taken in order: -5.723 -5.853 -4.576 -4.951 -2.020 -3.361 -5.352 -5.011 -7.166 -3.618 -2.027 -4.568.